[1]
Below is Li2CrW at its PBEsol-relaxed geometry, with properties calculated at the meta-GGA SCAN level.

abc: 2.4595 4.1426 5.5796
angles: 90.00 97.95 90.00
Last column: nearest neighbours and their distance in Å.
Space group Pm (No. 6)
Symmetry-distinct sites (fractional):
1 Li 0.0000 0.0000 0.0000 [1 per cell]  4 Li 2.46-2.54, 1 Cr 2.75
2 Li 0.2006 0.5000 0.7652 [1 per cell]  4 Li 2.46-2.54, 2 Cr 2.70
3 Cr 0.4243 0.0000 0.4831 [1 per cell]  2 Cr 2.46, 2 W 2.48, 3 Li 2.70-2.75
4 W 0.7033 0.5000 0.2893 [1 per cell]  2 W 2.46, 2 Cr 2.48

Summary:
energy above the lowest structure with this stoichiometry	0	meV per atom
formation energy	0.52	eV per atom
DOS at the Fermi energy	0.763	states/eV per atom
VASP energy	-90.8	eV/cell



[2]
Below is AlNiCl2 at its PBEsol-relaxed geometry, with properties calculated at the meta-GGA SCAN level.

abc: 3.5543 3.5543 10.9824
angles: 90.00 90.00 90.00
Last column: nearest neighbours and their distance in Å.
Space group I-4m2 (No. 119)
Symmetry-distinct sites (fractional):
1 Al 0.0000 0.0000 0.0000 [2 per cell]  4 Cl 2.51
2 Ni 0.0000 0.5000 0.7500 [2 per cell]  4 Cl 2.51
3 Cl 0.0000 0.0000 0.5000 [2 per cell]  4 Al 2.51
4 Cl 0.0000 0.5000 0.2500 [2 per cell]  4 Ni 2.51

Summary:
energy above the lowest structure with this stoichiometry	746	meV per atom
DOS at the Fermi energy	0.481	states/eV per atom
VASP energy	-79.2	eV/cell



Result set for calculated volume: 56.3, 69.4 Å³/f.u., one per record in the order listed.